(1)
# LiCuNi

A crystal of LiCuNi relaxed with PBEsol (SCAN, the Alexandria database).

Cell: 2.4309 2.4309 6.4219 Å, 96.14 96.14 115.76°
Sites, in units of the cell vectors:
Ni 0.3330 0.3330 0.6661
Li 0.6698 0.6698 0.3395
Cu 0.9972 0.9972 0.9944

Results
theoretical density	6.41	g/cm3
energy relative to the lowest polymorph listed for this composition	0.047	eV/atom
N(E_F)	1.3	states/eV per cell
ΔH_f (0 K)	0.04	eV/atom

---

(2)
# Fe2PtSe

A crystal of Fe2PtSe relaxed with PBEsol (SCAN, the Alexandria database).

Cell: 3.1753 4.2673 4.8371 Å, 116.17 109.16 90.00°
Sites, in units of the cell vectors:
Fe 0.2680 0.2680 0.5360
Fe 0.7320 0.7320 0.4640
Se 0.0000 0.5000 0.0000
Pt 0.5000 0.0000 0.0000

Results
theoretical density	11.70	g/cm3
raw formation energy	0.27	eV per formula unit
N(E_F)	2.2	states/eV per cell

---

(3)
# Fe3Ni4

A crystal of Fe3Ni4 relaxed with PBEsol (SCAN, the Alexandria database).

Cell: 2.8861 2.8861 9.3340 Å, 98.89 98.89 90.00°
Sites, in units of the cell vectors:
Ni 0.1431 0.1431 0.2863
Ni 0.4304 0.4304 0.8608
Ni 0.8569 0.8569 0.7137
Ni 0.5696 0.5696 0.1392
Fe 0.0000 0.0000 0.0000
Fe 0.7111 0.7111 0.4222
Fe 0.2889 0.2889 0.5778

Results
theoretical density	8.81	g/cm3
N(E_F)	6.1	states/eV per cell
ΔH_f (0 K)	-0.06	eV/atom

---

(4)
# Ti2CoGe2

A crystal of Ti2CoGe2 relaxed with PBEsol (SCAN, the Alexandria database).

Cell: 3.9061 6.0577 6.0577 Å, 90.00 90.00 90.00°
Sites, in units of the cell vectors:
Ge 0.0000 0.1451 0.3549
Ge 0.0000 0.8549 0.6451
Ge 0.0000 0.6451 0.1451
Ge 0.0000 0.3549 0.8549
Ti 0.5000 0.8361 0.3361
Ti 0.5000 0.1639 0.6639
Ti 0.5000 0.3361 0.1639
Ti 0.5000 0.6639 0.8361
Co 0.0000 0.0000 0.0000
Co 0.0000 0.5000 0.5000

Results
theoretical density	6.95	g/cm3
N(E_F)	5.5	states/eV per cell
ΔH_f (0 K)	-0.57	eV/atom

---

(5)
# BaMg2In

A crystal of BaMg2In relaxed with PBEsol (SCAN, the Alexandria database).

Cell: 3.4747 3.4747 11.2941 Å, 81.15 81.15 60.00°
Sites, in units of the cell vectors:
Mg 0.2611 0.2611 0.2167
Mg 0.7389 0.7389 0.7833
Ba 0.5000 0.5000 0.5000
In 0.0000 0.0000 0.0000

Results
theoretical density	4.30	g/cm3
N(E_F)	2.6	states/eV per cell
ΔH_f (0 K)	0.11	eV/atom

---

(6)
# ZrTaMn4

A crystal of ZrTaMn4 relaxed with PBEsol (SCAN, the Alexandria database).

Cell: 4.8291 4.8291 4.8291 Å, 60.00 60.00 60.00°
Sites, in units of the cell vectors:
Ta 0.7500 0.7500 0.7500
Mn 0.3753 0.8741 0.3753
Mn 0.8741 0.3753 0.3753
Mn 0.3753 0.3753 0.8741
Mn 0.3753 0.3753 0.3753
Zr 0.0000 0.0000 0.0000

Results
theoretical density	10.26	g/cm3
N(E_F)	5.8	states/eV per cell
ΔH_f (0 K)	-0.15	eV/atom

---

(7)
# Mg2ZnW

A crystal of Mg2ZnW relaxed with PBEsol (SCAN, the Alexandria database).

Cell: 2.8035 5.0769 5.0619 Å, 102.94 90.00 106.03°
Sites, in units of the cell vectors:
Mg 0.2487 0.4973 0.7467
Mg 0.0133 0.0267 0.9907
Zn 0.7475 0.4950 0.2907
W 0.4905 0.9810 0.4719

Results
theoretical density	7.34	g/cm3
N(E_F)	1.7	states/eV per cell
ΔH_f (0 K)	0.35	eV/atom

---

(8)
# U2InPt2

A crystal of U2InPt2 relaxed with PBEsol (SCAN, the Alexandria database).

Cell: 3.5568 7.6752 7.6752 Å, 90.00 90.00 90.00°
Sites, in units of the cell vectors:
Pt 0.0000 0.3662 0.1338
Pt 0.0000 0.6338 0.8662
Pt 0.0000 0.1338 0.6338
Pt 0.0000 0.8662 0.3662
U 0.5000 0.6683 0.1683
U 0.5000 0.3317 0.8317
U 0.5000 0.8317 0.6683
U 0.5000 0.1683 0.3317
In 0.0000 0.5000 0.5000
In 0.0000 0.0000 0.0000

Results
theoretical density	15.55	g/cm3
N(E_F)	28.7	states/eV per cell
ΔH_f (0 K)	-0.54	eV/atom

---

(9)
# Mg2In

A crystal of Mg2In relaxed with PBEsol (SCAN, the Alexandria database).

Cell: 3.4085 8.2745 8.2745 Å, 120.00 90.00 90.00°
Sites, in units of the cell vectors:
Mg 0.5000 0.6308 0.0000
Mg 0.5000 0.3692 0.3692
Mg 0.0000 0.2922 0.0000
Mg 0.0000 0.7078 0.7078
Mg 0.0000 0.0000 0.2922
Mg 0.5000 0.0000 0.6308
In 0.0000 0.3333 0.6667
In 0.5000 0.0000 0.0000
In 0.0000 0.6667 0.3333

Results
theoretical density	4.03	g/cm3
N(E_F)	3.4	states/eV per cell
ΔH_f (0 K)	-0.17	eV/atom

---

(10)
# Ti3ZnNi

A crystal of Ti3ZnNi relaxed with PBEsol (SCAN, the Alexandria database).

Cell: 4.4607 4.4607 4.4607 Å, 90.00 90.00 90.00°
Sites, in units of the cell vectors:
Ti 0.5000 0.0000 0.0000
Ti 0.0000 0.0000 0.5000
Ti 0.0000 0.5000 0.0000
Ni 0.0000 0.0000 0.0000
Zn 0.5000 0.5000 0.5000

Results
theoretical density	5.01	g/cm3
N(E_F)	7.3	states/eV per cell
ΔH_f (0 K)	0.30	eV/atom

---

(11)
# LiTl2

A crystal of LiTl2 relaxed with PBEsol (SCAN, the Alexandria database).

Cell: 4.8163 6.2463 9.3101 Å, 90.00 90.00 90.00°
Sites, in units of the cell vectors:
Li 0.7500 0.8260 0.1136
Li 0.2500 0.1740 0.8864
Li 0.7500 0.3260 0.3864
Li 0.2500 0.6740 0.6136
Tl 0.7500 0.9367 0.7895
Tl 0.7500 0.3412 0.0607
Tl 0.2500 0.6588 0.9393
Tl 0.7500 0.4367 0.7105
Tl 0.2500 0.5633 0.2895
Tl 0.2500 0.1588 0.5607
Tl 0.7500 0.8412 0.4393
Tl 0.2500 0.0633 0.2105

Results
theoretical density	9.86	g/cm3
energy relative to the lowest polymorph listed for this composition	0.018	eV/atom
N(E_F)	4.7	states/eV per cell
ΔH_f (0 K)	-0.17	eV/atom

---

(12)
# LiB13C2

A crystal of LiB13C2 relaxed with PBEsol (SCAN, the Alexandria database).

Cell: 5.6541 7.2911 7.2911 Å, 66.70 67.19 67.19°
Sites, in units of the cell vectors:
B 0.0833 0.9333 0.9002
B 0.1762 0.6510 0.9966
B 0.8238 0.0034 0.3490
B 0.4167 0.5760 0.5905
B 0.3238 0.8583 0.4940
B 0.9167 0.0998 0.0667
B 0.4252 0.3780 0.2655
B 0.3411 0.9830 0.6551
B 0.9252 0.7748 0.8687
B 0.6589 0.3449 0.0170
B 0.4792 0.5263 0.8356
B 0.1589 0.5263 0.8356
B 0.6762 0.5060 0.1417
B 0.8411 0.1644 0.4737
B 0.9792 0.3449 0.0170
B 0.0687 0.7345 0.6220
B 0.5208 0.1644 0.4737
B 0.5687 0.1313 0.2252
B 0.0000 0.6413 0.3587
B 0.5833 0.4095 0.4240
B 0.4313 0.7748 0.8687
B 0.0208 0.9830 0.6551
B 0.9313 0.3780 0.2655
B 0.5000 0.8680 0.1320
B 0.5748 0.7345 0.6220
B 0.0748 0.1313 0.2252
C 0.8686 0.7656 0.4971
C 0.3686 0.0065 0.2563
C 0.6314 0.7437 0.9935
C 0.1314 0.5029 0.2344
Li 0.5000 0.1995 0.8005
Li 0.0000 0.3094 0.6906

Results
theoretical density	2.33	g/cm3
N(E_F)	0.0	states/eV per cell
ΔH_f (0 K)	-0.22	eV/atom